The following is a DFT calculation (GGA-PBE) of an optimized crystal structure of Pr4TlSnH.

Unit cell a=6.718 b=6.691 c=9.488 alpha=90.00 beta=110.73 gamma=90.00
Atoms (fractional coordinates):
Pr1 0.500 0.000 0.500
Pr2 0.500 0.500 0.500
Pr3 0.929 0.250 0.858
Pr4 0.430 0.750 0.860
Pr5 0.570 0.250 0.140
Pr6 0.000 0.500 0.500
Pr7 0.071 0.750 0.142
Pr8 0.000 0.000 0.500
Sn1 0.887 0.750 0.774
Sn2 0.113 0.250 0.226
Tl1 0.387 0.250 0.775
Tl2 0.613 0.750 0.225
H1 0.707 0.250 0.414
H2 0.293 0.750 0.586

Magnetic moment (Bohr magnetons per cell): 0.00
VASP energy (eV for the cell shown): -64.5
Density (g/cm3): 7.39
Calculated volume (Å³ per cell): 398.9
Symmetry: Cmcm (63)